Density functional theory data (PBE+U) for a relaxed structure of Np2WO11.

```
data_Np2WO11
_chemical_formula_sum 'Np8 W4 O44'
_symmetry_space_group_name_H-M 'C 1 m 1'
_symmetry_Int_Tables_number 8
_cell_length_a 14.731
_cell_length_b 11.197
_cell_length_c 8.006
_cell_angle_alpha 90.00
_cell_angle_beta 119.18
_cell_angle_gamma 90.00
loop_
_symmetry_equiv_pos_as_xyz
'x,y,z'
'x,-y,z'
'x+1/2,y+1/2,z'
'x+1/2,-y+1/2,z'
loop_
_atom_site_label
_atom_site_fract_x
_atom_site_fract_y
_atom_site_fract_z
_atom_site_occupancy
Np1 0.000 0.000 0.000 1
Np2 0.002 0.500 0.547 1
Np3 0.245 0.500 0.094 1
Np4 0.262 0.000 0.923 1
W1 0.134 0.213 0.459 1
O1 0.065 0.126 0.231 1
O2 0.067 0.355 0.446 1
O3 0.138 0.500 0.801 1
O4 0.147 0.000 0.980 1
O5 0.149 0.117 0.653 1
O6 0.226 0.340 0.091 1
O7 0.257 0.248 0.493 1
O8 0.289 0.155 0.995 1
O9 0.347 0.500 0.348 1
O10 0.356 0.000 0.836 1
O11 0.361 0.500 0.008 1
O12 0.392 0.000 0.292 1
O13 0.459 0.121 0.654 1
O14 0.462 0.363 0.862 1
```

Summary:
ρ, Mg/m³: 4.80
Spin magnetization, μB/f.u.: 1.02
Energy, eV/atom: -8.0796